(1)
First-principles (PBE) data for a relaxed structure of YMoAs2Br, as listed in the Alexandria database.

Cell and atoms, written as CIF:
```
data_YMoAs2Br
_chemical_formula_sum 'Y1 Mo1 As2 Br1'
_space_group_name_H-M_alt 'P 4/m m m'
_space_group_IT_number 123
_space_group_name_Hall '-P 4 2'
_cell_length_a 5.473
_cell_length_b 5.473
_cell_length_c 5.373
_cell_angle_alpha 90.00
_cell_angle_beta 90.00
_cell_angle_gamma 90.00
loop_
_atom_site_label
_atom_site_fract_x
_atom_site_fract_y
_atom_site_fract_z
Y1 0.000 0.000 0.000
Mo1 0.500 0.500 0.500
As1 0.000 0.500 0.000
Br1 0.000 0.000 0.500
```

Results
* ΔE to the lowest computed polymorph: 696.5 meV/atom
* E_form (uncorrected): 3.4 eV per formula unit



(2)
First-principles (PBE) data for a relaxed structure of YMoAs2Br, as listed in the Alexandria database.

Cell and atoms, written as CIF:
```
data_YMoAs2Br
_chemical_formula_sum 'Y1 Mo1 As2 Br1'
_space_group_name_H-M_alt 'P 4/m m m'
_space_group_IT_number 123
_space_group_name_Hall '-P 4 2'
_cell_length_a 4.845
_cell_length_b 4.845
_cell_length_c 5.256
_cell_angle_alpha 90.00
_cell_angle_beta 90.00
_cell_angle_gamma 90.00
loop_
_atom_site_label
_atom_site_fract_x
_atom_site_fract_y
_atom_site_fract_z
Y1 0.000 0.000 0.000
Mo1 0.500 0.500 0.500
As1 0.000 0.500 0.500
Br1 0.500 0.500 0.000
```

Results
* ΔE to the lowest computed polymorph: 0.0 meV/atom
* E_form (uncorrected): -0.1 eV per formula unit



(3)
First-principles (PBE) data for a relaxed structure of ZnMoAsBr2, as listed in the Alexandria database.

Cell and atoms, written as CIF:
```
data_ZnMoAsBr2
_chemical_formula_sum 'Zn1 Mo1 As1 Br2'
_space_group_name_H-M_alt 'P 4/m m m'
_space_group_IT_number 123
_space_group_name_Hall '-P 4 2'
_cell_length_a 5.261
_cell_length_b 5.261
_cell_length_c 4.892
_cell_angle_alpha 90.00
_cell_angle_beta 90.00
_cell_angle_gamma 90.00
loop_
_atom_site_label
_atom_site_fract_x
_atom_site_fract_y
_atom_site_fract_z
Zn1 0.000 0.000 0.000
Mo1 0.500 0.500 0.500
As1 0.500 0.500 0.000
Br1 0.000 0.500 0.500
```

Results
* ΔE to the lowest computed polymorph: 0.0 meV/atom
* E_form (uncorrected): 1.5 eV per formula unit



(4)
First-principles (PBE) data for a relaxed structure of ZnMoAsBr2, as listed in the Alexandria database.

Cell and atoms, written as CIF:
```
data_ZnMoAsBr2
_chemical_formula_sum 'Zn1 Mo1 As1 Br2'
_space_group_name_H-M_alt 'P 4/m m m'
_space_group_IT_number 123
_space_group_name_Hall '-P 4 2'
_cell_length_a 5.101
_cell_length_b 5.101
_cell_length_c 5.012
_cell_angle_alpha 90.00
_cell_angle_beta 90.00
_cell_angle_gamma 90.00
loop_
_atom_site_label
_atom_site_fract_x
_atom_site_fract_y
_atom_site_fract_z
Zn1 0.000 0.000 0.000
Mo1 0.500 0.500 0.500
As1 0.000 0.000 0.500
Br1 0.000 0.500 0.000
```

Results
* ΔE to the lowest computed polymorph: 515.0 meV/atom
* E_form (uncorrected): 4.1 eV per formula unit